[1]
Computed, not measured: a relaxed TaTc2Te crystal at the GGA-PBE level of DFT.

Lattice parameters (Å, degrees): 5.314 5.314 5.314 144.55 128.20 64.34
Element x y z (fractional)
1 Ta 0.250 0.750 0.500
2 Tc 0.513 0.513 0.000
3 Tc 0.987 0.987 0.000
4 Te 0.750 0.250 0.500

Results
* space-group type: Immm, No. 71
* uncorrected formation energy: 274 meV per atom
* DFT total energy: -8.6575 eV/atom

[2]
Computed, not measured: a relaxed Ba3TmAu2O6 crystal at the GGA-PBE level of DFT.

Lattice parameters (Å, degrees): 6.176 6.176 6.915 90.00 90.00 120.00
Element x y z (fractional)
1 O 0.164 0.836 0.313
2 O 0.836 0.164 0.687
3 O 0.673 0.836 0.313
4 O 0.164 0.327 0.313
5 O 0.327 0.164 0.687
6 O 0.836 0.673 0.687
7 Au 0.333 0.667 0.135
8 Au 0.667 0.333 0.865
9 Ba 0.000 0.000 0.000
10 Ba 0.667 0.333 0.368
11 Ba 0.333 0.667 0.632
12 Tm 0.000 0.000 0.500

Results
* space-group type: P-3m1, No. 164
* uncorrected formation energy: -1783 meV per atom
* DFT total energy: -5.6619 eV/atom

[3]
Computed, not measured: a relaxed NaB3C crystal at the GGA-PBE level of DFT.

Lattice parameters (Å, degrees): 4.801 4.801 4.801 90.00 90.00 90.00
Site moments in Bohr magnetons follow the coordinates.
Element x y z (fractional)
1 B 0.000 0.000 0.500  -0.06
2 B 0.500 0.000 0.000  -0.05
3 B 0.000 0.500 0.000  -0.08
4 Na 0.000 0.000 0.000  -0.02
5 C 0.500 0.500 0.500  0.76

Results
* space-group type: Pm-3m, No. 221
* energy relative to the elements: 4.1519 eV per atom
* offset from the most stable computed form: 2157 meV per atom
* DFT total energy: -1.9632 eV/atom

What is the formula in the first record?
TaTc2Te

The highest DFT total energy belongs to which entry?
NaB3C